Model a:
# NdCd3Ag3

A relaxed structure of NdCd3Ag3 (PBE-GGA, the Alexandria database).

extended XYZ file:
```
14
Lattice="7.9712 0.0000 4.6022 2.6571 7.5153 4.6022 0.0000 0.0000 9.2043" Properties=species:S:1:pos:R:3 pbc="T T T"
Ag 6.1011 2.6446 10.5674
Ag 4.5271 4.8706 10.5674
Nd 2.6571 1.8788 4.6022
Cd 7.1371 1.1795 12.3619
Ag 6.8881 4.8706 9.2043
Ag 4.5271 4.8706 7.8412
Cd 1.6680 1.1795 9.2043
Cd 3.4911 6.3358 6.0467
Cd 8.9602 6.3358 9.2043
Cd 7.1371 1.1795 6.0467
Ag 3.7401 2.6446 9.2043
Cd 3.4911 6.3358 12.3619
Ag 6.1011 2.6446 7.8412
Nd 7.9712 5.6365 13.8065
```

Summary:
SG	Fm-3m (225)

Model b:
# NdCd3Ag3

A relaxed structure of NdCd3Ag3 (PBE-GGA, the Alexandria database).

extended XYZ file:
```
14
Lattice="-5.1307 0.6585 5.3374 -3.8904 -5.9500 2.1697 1.5624 -3.0902 7.0585" Properties=species:S:1:pos:R:3 pbc="T T T"
Ag -0.4304 -2.7279 7.4397
Cd -2.6876 -2.4902 5.5536
Cd -5.8161 -3.1322 8.5044
Ag -4.0951 -3.6756 10.8393
Ag -7.0283 -5.6539 7.1259
Cd -4.7710 -5.8916 9.0119
Nd -5.8544 -3.5740 5.1639
Nd -1.6042 -4.8077 9.4017
Ag -2.2879 -7.4389 7.9312
Ag -3.3635 -4.7061 3.7263
Ag -5.1708 -0.9428 6.6344
Cd -3.0769 -1.9242 8.4677
Cd -1.6426 -5.2495 6.0612
Cd -4.3818 -6.4575 6.0978
```

Summary:
SG	R-3 (148)

Tell me which of them is the least stable. Sure, it is model a.

Model a:
# Nd2Cd3Ag4

A relaxed structure of Nd2Cd3Ag4 (PBE-GGA, the Alexandria database).

extended XYZ file:
```
18
Lattice="-1.0395 -3.8515 4.4899 -1.5659 -5.9357 -5.4544 8.7383 -0.2644 -2.2209" Properties=species:S:1:pos:R:3 pbc="T T T"
Ag -0.0798 -4.6634 2.0070
Nd 0.7508 -3.9990 -3.2566
Ag 0.4399 -2.7376 -0.2379
Nd 5.3820 -6.0526 0.0712
Cd 2.9319 -6.5782 -2.9556
Ag 6.2127 -5.3882 -5.1924
Cd 3.4516 -4.6524 -5.2005
Cd -1.3027 -4.8936 -0.4823
Ag 1.2495 -6.5548 -5.3336
Cd 3.2010 -3.4734 -0.2299
Ag 4.6848 -4.2938 -2.5987
Ag 1.4481 -5.7578 -0.5867
Nd 6.3779 -2.3221 -0.5153
Ag 4.8834 -3.4968 2.1482
Ag 5.6929 -7.3140 -2.9475
Cd 2.6812 -5.3992 2.0150
Nd -0.2450 -7.7295 -2.6701
Cd 0.0000 0.0000 0.0000
```

Summary:
SG	Cmce (64)

Model b:
# Nd2Cd3Ag4

A relaxed structure of Nd2Cd3Ag4 (PBE-GGA, the Alexandria database).

extended XYZ file:
```
9
Lattice="4.9844 -0.0001 0.0042 2.4913 4.3925 0.3226 0.0046 -0.0050 9.3568" Properties=species:S:1:pos:R:3 pbc="T T T"
Ag 4.9889 2.9605 8.6828
Cd 2.4898 1.3131 3.9802
Cd 4.9906 3.0742 5.7034
Ag 2.4915 1.4268 1.0008
Nd 4.9827 2.8302 2.3651
Nd 2.4977 1.5572 7.3186
Ag 2.4893 4.1951 3.6377
Cd 0.0000 0.0000 0.0000
Ag 4.9911 0.1922 6.0459
```

Summary:
SG	P-1 (2)

Tell me which of them is the least stable. Sure, it is model a.

Model a:
# Nd4CdAg2

A relaxed structure of Nd4CdAg2 (PBE-GGA, the Alexandria database).

extended XYZ file:
```
7
Lattice="5.1987 0.0000 0.0000 2.5994 4.5022 0.0000 2.5994 1.5007 9.3468" Properties=species:S:1:pos:R:3 pbc="T T T"
Nd 5.1987 3.0015 1.2475
Nd 5.1987 3.0015 8.0993
Ag 7.7981 4.5022 2.7955
Nd 2.5994 1.5007 3.5019
Cd 0.0000 0.0000 0.0000
Ag 2.5994 1.5007 6.5513
Nd 7.7981 4.5022 5.8448
```

Summary:
SG	R-3m (166)

Model b:
# Nd4CdAg2

A relaxed structure of Nd4CdAg2 (PBE-GGA, the Alexandria database).

extended XYZ file:
```
7
Lattice="-0.4427 3.8196 3.6507 -4.7880 1.8337 1.3512 -2.2777 -3.9974 7.7565" Properties=species:S:1:pos:R:3 pbc="T T T"
Ag -1.8678 0.5167 3.0833
Nd -3.9421 -1.2408 8.5209
Nd -3.5664 2.8967 4.2375
Ag -5.6407 1.1392 9.6752
Cd 0.0000 0.0000 0.0000
Nd -5.4390 3.3603 7.3758
Nd -2.0695 -1.7044 5.3826
```

Summary:
SG	R-3m (166)

Tell me which of them is the least stable. Sure, it is model a.

Model a:
# Nd4Cd2Ag

A relaxed structure of Nd4Cd2Ag (PBE-GGA, the Alexandria database).

extended XYZ file:
```
7
Lattice="3.6292 0.0000 0.0000 0.0000 8.1399 0.2102 -1.8146 -3.6958 7.0417" Properties=species:S:1:pos:R:3 pbc="T T T"
Cd 1.8146 4.8586 4.0959
Nd 1.8146 -0.7600 5.8420
Nd 0.0000 5.2041 1.4099
Cd 0.0000 -0.4145 3.1561
Ag 0.0000 0.0000 0.0000
Nd 1.8146 2.0163 1.8937
Nd 0.0000 2.4279 5.3582
```

Summary:
SG	C2/m (12)

Model b:
# Nd4Cd2Ag

A relaxed structure of Nd4Cd2Ag (PBE-GGA, the Alexandria database).

extended XYZ file:
```
7
Lattice="5.3206 0.0000 0.0000 0.0000 6.2155 -2.0977 0.0000 -0.0461 6.5598" Properties=species:S:1:pos:R:3 pbc="T T T"
Cd 0.0000 4.6383 0.0830
Nd 0.0000 1.5278 1.1050
Cd 0.0000 1.5311 4.3791
Nd 0.0000 4.6416 3.3571
Nd 2.6603 3.1078 -1.0488
Nd 2.6603 -0.0231 3.2799
Ag 2.6603 3.0847 2.2310
```

Summary:
SG	Cmmm (65)

Tell me which of them is the least stable. Sure, it is model a.

Model a:
# NdCd4Ag2

A relaxed structure of NdCd4Ag2 (PBE-GGA, the Alexandria database).

extended XYZ file:
```
7
Lattice="4.3070 0.0000 0.0000 0.0000 4.3269 0.0000 0.0000 -2.1635 8.7607" Properties=species:S:1:pos:R:3 pbc="T T T"
Nd 0.0000 0.0000 0.0000
Cd 0.0000 0.0000 5.5598
Cd 2.1535 2.1635 5.5810
Ag 2.1535 0.0000 7.4250
Ag 2.1535 2.1635 1.3357
Cd 2.1535 0.0000 3.1798
Cd 0.0000 2.1635 3.2010
```

Summary:
SG	Cmmm (65)

Model b:
# NdCd4Ag2

A relaxed structure of NdCd4Ag2 (PBE-GGA, the Alexandria database).

extended XYZ file:
```
7
Lattice="4.9545 -0.0121 2.6327 2.2937 5.2396 1.6288 -0.0075 -0.4017 5.9336" Properties=species:S:1:pos:R:3 pbc="T T T"
Cd 1.5044 -0.1565 3.1209
Cd 5.7364 4.9824 7.0742
Ag 4.8581 2.4071 5.7516
Cd 4.8386 2.7816 8.7537
Nd 0.0000 0.0000 0.0000
Cd 2.4021 2.0443 1.4414
Ag 2.3825 2.4187 4.4435
```

Summary:
SG	C2/m (12)

Tell me which of them is the least stable. Sure, it is model a.

Model a:
# Nd4CdAg3

A relaxed structure of Nd4CdAg3 (PBE-GGA, the Alexandria database).

extended XYZ file:
```
8
Lattice="3.7651 0.0000 0.0000 0.0000 4.9306 0.0000 0.0000 0.0000 11.8608" Properties=species:S:1:pos:R:3 pbc="T T T"
Ag 1.8825 0.0000 10.9549
Cd 1.8825 2.4653 0.8646
Ag 0.0000 2.4653 6.8024
Nd 1.8825 0.0000 7.6555
Ag 0.0000 0.0000 5.0798
Nd 0.0000 0.0000 1.8406
Nd 0.0000 2.4653 10.0124
Nd 1.8825 2.4653 4.2329
```

Summary:
SG	Pmm2 (25)

Model b:
# Nd4CdAg3

A relaxed structure of Nd4CdAg3 (PBE-GGA, the Alexandria database).

extended XYZ file:
```
8
Lattice="-0.0216 2.7478 -2.5903 -3.9658 2.4504 2.6325 7.1832 5.4633 5.7359" Properties=species:S:1:pos:R:3 pbc="T T T"
Cd -1.9937 2.5991 0.0211
Ag 1.7628 2.7229 0.1211
Ag 5.3988 5.4883 3.0245
Nd 0.0000 0.0000 0.0000
Nd 3.3628 5.2909 5.5848
Nd -0.1453 2.6228 2.7835
Ag 1.5980 5.3308 2.8891
Nd 3.5916 2.7316 2.8679
```

Summary:
SG	Pmmm (47)

Tell me which of them is the least stable. Sure, it is model a.

Model a:
# PmNdCdAg

A relaxed structure of PmNdCdAg (PBE-GGA, the Alexandria database).

extended XYZ file:
```
4
Lattice="5.3671 0.0000 0.0000 2.6836 4.6481 0.0000 2.6836 1.5494 4.3823" Properties=species:S:1:pos:R:3 pbc="T T T"
Nd 5.3671 3.0987 2.1911
Cd 8.0507 4.6481 3.2867
Pm 0.0000 0.0000 0.0000
Ag 2.6836 1.5494 1.0956
```

Summary:
SG	F-43m (216)

Model b:
# PmNdCdAg

A relaxed structure of PmNdCdAg (PBE-GGA, the Alexandria database).

extended XYZ file:
```
4
Lattice="3.7961 0.0000 0.0000 0.0000 3.7961 0.0000 0.0000 0.0000 7.5685" Properties=species:S:1:pos:R:3 pbc="T T T"
Nd 1.8981 1.8981 0.8589
Pm 1.8981 1.8981 4.5360
Cd 0.0000 0.0000 6.4615
Ag 0.0000 0.0000 2.7353
```

Summary:
SG	P4mm (99)

Tell me which of them is the least stable. Sure, it is model a.

Model a:
# NdScCdAg

A relaxed structure of NdScCdAg (PBE-GGA, the Alexandria database).

extended XYZ file:
```
4
Lattice="5.1784 0.0000 0.0000 2.5892 4.4847 0.0000 2.5892 1.4949 4.2282" Properties=species:S:1:pos:R:3 pbc="T T T"
Sc 0.0000 0.0000 0.0000
Ag 2.5892 1.4949 1.0570
Cd 7.7676 4.4847 3.1711
Nd 5.1784 2.9898 2.1141
```

Summary:
SG	F-43m (216)

Model b:
# NdScCdAg

A relaxed structure of NdScCdAg (PBE-GGA, the Alexandria database).

extended XYZ file:
```
4
Lattice="-1.6303 3.1497 0.1592 -2.7649 -1.3413 -1.7776 -3.2784 -2.0323 6.6330" Properties=species:S:1:pos:R:3 pbc="T T T"
Sc -4.1404 -0.3002 3.1215
Cd -2.7023 -1.6752 5.4674
Ag -1.2979 -0.8046 2.6260
Nd -2.5753 0.6701 -0.0451
```

Summary:
SG	P4mm (99)

Tell me which of them is the least stable. Sure, it is model a.